# BaAl2In, PBEsol geometry, DFT meta-GGA SCAN
# Total moment in μB per cell: 0.000
# Theoretical density in g cm⁻³: 4.70
# Crystal system: monoclinic
# DFT formation energy in eV/atom: -0.112
data_BaAl2In
_cell_length_a 3.552
_cell_length_b 4.417
_cell_length_c 7.109
_cell_angle_alpha 90.00
_cell_angle_beta 104.27
_cell_angle_gamma 90.00
_symmetry_space_group_name_H-M 'P 1'
_symmetry_Int_Tables_number 1
_symmetry_space_group_name_Hall 'P 1'
loop_
_atom_site_label
_atom_site_fract_x
_atom_site_fract_y
_atom_site_fract_z
Ba1 0.000 0.000 0.000
Al1 0.259 0.000 0.513
Al2 0.361 0.500 0.717
In1 0.678 0.500 0.355